Record 1
{
  "formula": "Pa2Fe4Ge2C",
  "functional": "PBE",
  "state": "optimized geometry",
  "cell": [[5.771, -0.029, -0.042], [-2.795, 5.049, 0.042], [-2.795, -1.735, 4.742]],
  "species": ["Pa", "Pa", "Fe", "Fe", "Fe", "Fe", "Ge", "Ge", "C"],
  "frac_coords": [[0.000, 0.714, 0.714], [0.000, 0.286, 0.286], [0.000, 0.758, 0.242], [0.515, 0.758, 0.758], [0.000, 0.242, 0.758], [0.485, 0.242, 0.242], [0.500, 0.750, 0.250], [0.500, 0.250, 0.750], [0.000, 0.000, 0.000]],
  "total_magnetization_mub_per_fu": 4.942,
  "sg": "I4/mmm",
  "formation_energy_mev_per_atom": 69
}

Record 2
{
  "formula": "Pa2Fe2Ge2C",
  "functional": "PBE",
  "state": "optimized geometry",
  "cell": [[-2.959, 0.687, 2.516], [-5.064, -0.435, -2.745], [-2.304, -4.976, 1.741]],
  "species": ["Pa", "Pa", "Fe", "Fe", "Ge", "Ge", "C"],
  "frac_coords": [[0.546, 0.188, 0.719], [0.454, 0.812, 0.281], [0.190, 0.690, 0.930], [0.810, 0.310, 0.070], [0.168, 0.362, 0.302], [0.832, 0.638, 0.698], [0.000, 0.000, 0.000]],
  "total_magnetization_mub_per_fu": 0.000,
  "sg": "C2/m",
  "formation_energy_mev_per_atom": -488
}